[1]
Ti2NiW: relaxed, GGA-PBE.

Cell: 9.5813 9.5813 9.5813 Å, 157.74 157.74 31.68°
Closest atoms and distances in Å follow each position.
Fractional positions:
Ti 0.1239 0.6250 0.9989  4 Ti 2.61-2.62, 2 Ni 2.65, 2 W 2.65
Ti 0.3750 0.3739 0.4989  4 Ti 2.61-2.62, 2 Ni 2.65, 2 W 2.65
Ti 0.6261 0.1250 0.0011  4 Ti 2.61-2.62, 2 Ni 2.65, 2 W 2.65
Ti 0.8750 0.8761 0.5011  4 Ti 2.61-2.62, 2 Ni 2.65, 2 W 2.65
Ni 0.0000 0.0000 0.0000  4 W 2.62, 4 Ti 2.65
Ni 0.7500 0.2500 0.5000  4 W 2.62, 4 Ti 2.65
W 0.2500 0.7500 0.5000  4 Ni 2.62, 4 Ti 2.65
W 0.5000 0.5000 0.0000  4 Ni 2.62, 4 Ti 2.65

Summary:
magnetization = 0.0 μB/f.u.
DFT total energy = -32.5 eV per formula unit
energy of formation from the pure elements = 2.05 eV/f.u.

***

[2]
Ti2Ni9W: relaxed, GGA-PBE.

Cell: 3.6215 3.6215 10.8858 Å, 90.00 90.00 90.00°
Closest atoms and distances in Å follow each position.
Fractional positions:
Ti 0.0000 0.0000 0.1639  12 Ni 2.54-2.58
Ti 0.0000 0.0000 0.8361  12 Ni 2.54-2.58
Ni 0.0000 0.5000 0.0000  4 Ti 2.54, 8 Ni 2.56-2.57
Ni 0.0000 0.5000 0.3327  8 Ni 2.56-2.57, 2 W 2.57, 2 Ti 2.58
Ni 0.0000 0.5000 0.6673  8 Ni 2.56-2.57, 2 W 2.57, 2 Ti 2.58
Ni 0.5000 0.0000 0.0000  4 Ti 2.54, 8 Ni 2.56-2.57
Ni 0.5000 0.0000 0.3327  8 Ni 2.56-2.57, 2 W 2.57, 2 Ti 2.58
Ni 0.5000 0.0000 0.6673  8 Ni 2.56-2.57, 2 W 2.57, 2 Ti 2.58
Ni 0.5000 0.5000 0.1669  8 Ni 2.56-2.57, 4 Ti 2.56
Ni 0.5000 0.5000 0.5000  4 W 2.56, 8 Ni 2.57
Ni 0.5000 0.5000 0.8331  8 Ni 2.56-2.57, 4 Ti 2.56
W 0.0000 0.0000 0.5000  12 Ni 2.56-2.57

Summary:
magnetization = 0.0 μB/f.u.
DFT total energy = -83.9 eV per formula unit
energy of formation from the pure elements = -3.09 eV/f.u.

***

[3]
Ti2Ni2W: relaxed, GGA-PBE.

Cell: 7.0548 7.0548 2.8285 Å, 90.00 90.00 90.00°
Closest atoms and distances in Å follow each position.
Fractional positions:
Ti 0.1735 0.3265 0.0000  6 Ni 2.47-2.55
Ti 0.3265 0.8265 0.0000  6 Ni 2.47-2.55
Ti 0.6735 0.1735 0.0000  6 Ni 2.47-2.55
Ti 0.8265 0.6735 0.0000  6 Ni 2.47-2.55
Ni 0.1239 0.6239 0.5000  6 Ti 2.47-2.55, 1 Ni 2.47
Ni 0.3761 0.1239 0.5000  6 Ti 2.47-2.55, 1 Ni 2.47
Ni 0.6239 0.8761 0.5000  6 Ti 2.47-2.55, 1 Ni 2.47
Ni 0.8761 0.3761 0.5000  6 Ti 2.47-2.55, 1 Ni 2.47
W 0.0000 0.0000 0.5000  4 Ni 2.79, 2 W 2.83, 8 Ti 2.97
W 0.5000 0.5000 0.5000  4 Ni 2.79, 2 W 2.83, 8 Ti 2.97

Summary:
magnetization = 0.0 μB/f.u.
DFT total energy = -41.1 eV per formula unit
energy of formation from the pure elements = -0.82 eV/f.u.

***

[4]
TiNi2W: relaxed, GGA-PBE.

Cell: 5.3731 5.3731 5.3731 Å, 103.01 103.01 123.34°
Closest atoms and distances in Å follow each position.
Fractional positions:
Ti 0.0000 0.0000 0.0000  4 Ni 2.45, 2 W 2.55
Ti 0.7500 0.2500 0.5000  4 Ni 2.45, 2 W 2.55
Ni 0.1261 0.6250 0.0011  2 W 2.44, 2 Ti 2.45, 2 Ni 2.55
Ni 0.3750 0.3761 0.5011  2 W 2.44, 2 Ti 2.45, 2 Ni 2.55
Ni 0.6239 0.1250 0.9989  2 W 2.44, 2 Ti 2.45, 2 Ni 2.55
Ni 0.8750 0.8739 0.4989  2 W 2.44, 2 Ti 2.45, 2 Ni 2.55
W 0.2500 0.7500 0.5000  4 Ni 2.44, 2 Ti 2.55
W 0.5000 0.5000 0.0000  4 Ni 2.44, 2 Ti 2.55

Summary:
magnetization = 0.0 μB/f.u.
DFT total energy = -31.2 eV per formula unit
energy of formation from the pure elements = 1.22 eV/f.u.

***

| no. | volume (Å³/f.u.) | D(E_F) (states/eV/atom) |
| --- | --- | --- |
| 1 | 63 | 2.111 |
| 2 | 143 | 1.070 |
| 3 | 70 | 0.765 |
| 4 | 57 | 1.067 |